Entry 1:
Material: LaTaRe2
Method: DFT, PBEsol
State: relaxed

Summary:
symmetry	C2/m (12)
VASP energy	-42.4	eV/cell

abc: 5.4160 5.4160 2.8540
angles: 101.78 101.78 113.63
Atoms (fractional coordinates):
La1 0.0000 0.0000 0.0000
Ta1 0.5000 0.5000 0.0000
Re1 0.0000 0.5000 0.5000
Re2 0.5000 0.0000 0.5000


Entry 2:
Material: Ca4Ni3C5
Method: DFT, PBEsol
State: relaxed

Summary:
symmetry	C2/m (12)
VASP energy	-77.4	eV/cell

abc: 5.8084 5.8084 9.6757
angles: 111.83 111.83 37.27
Atoms (fractional coordinates):
Ca1 0.1009 0.1009 0.3993
Ca2 0.2555 0.2555 0.8363
Ca3 0.7445 0.7445 0.1637
Ca4 0.8991 0.8991 0.6007
Ni1 0.0000 0.0000 0.0000
Ni2 0.4589 0.4589 0.1637
Ni3 0.5411 0.5411 0.8363
C1 0.3267 0.3267 0.3901
C2 0.3989 0.3989 0.3112
C3 0.5000 0.5000 0.0000
C4 0.6011 0.6011 0.6888
C5 0.6733 0.6733 0.6099


Entry 3:
Material: CsRbCaN2
Method: DFT, PBEsol
State: relaxed

Summary:
symmetry	P4/mmm (123)
VASP energy	-16.5	eV/cell

abc: 4.7540 4.7540 5.5794
angles: 90.00 90.00 90.00
Atoms (fractional coordinates):
Cs1 0.0000 0.0000 0.0000
Rb1 0.5000 0.5000 0.0000
Ca1 0.0000 0.0000 0.5000
N1 0.0000 0.5000 0.5000
N2 0.5000 0.0000 0.5000


Entry 4:
Material: CuReSi2
Method: DFT, PBEsol
State: relaxed

Summary:
symmetry	I4/mmm (139)
relative energy among the computed polymorphs	0.0	meV per atom

abc: 4.4231 4.4231 4.4231
angles: 129.00 129.00 75.02
Atoms (fractional coordinates):
Cu1 0.0000 0.0000 0.0000
Re1 0.5000 0.5000 0.0000
Si1 0.2500 0.7500 0.5000
Si2 0.7500 0.2500 0.5000


Entry 5:
Material: RbReOF2
Method: DFT, PBEsol
State: relaxed

Summary:
symmetry	P4/mmm (123)
VASP energy	-31.1	eV/cell

abc: 4.3493 4.3493 3.8073
angles: 90.00 90.00 90.00
Atoms (fractional coordinates):
Rb1 0.0000 0.0000 0.0000
Re1 0.5000 0.5000 0.5000
O1 0.5000 0.5000 0.0000
F1 0.0000 0.5000 0.5000
F2 0.5000 0.0000 0.5000


Entry 6:
Material: KScCu2
Method: DFT, PBEsol
State: relaxed

Summary:
symmetry	Imm2 (44)
relative energy among the computed polymorphs	305.2	meV per atom

abc: 6.0119 6.0119 6.0119
angles: 151.22 130.51 58.27
Atoms (fractional coordinates):
K1 0.0000 0.0000 0.0000
Sc1 0.3053 0.8053 0.5000
Cu1 0.5408 0.5408 0.0000
Cu2 0.7262 0.2262 0.5000


Entry 7:
Material: CdTcPb
Method: DFT, PBEsol
State: relaxed

Summary:
symmetry	F-43m (216)
VASP energy	-12.9	eV/cell

abc: 4.6164 4.6164 4.6164
angles: 60.00 60.00 60.00
Atoms (fractional coordinates):
Cd1 0.0000 0.0000 0.0000
Tc1 0.7500 0.7500 0.7500
Pb1 0.2500 0.2500 0.2500


Entry 8:
Material: SrLa2Cl
Method: DFT, PBEsol
State: relaxed

Summary:
symmetry	C2/m (12)
relative energy among the computed polymorphs	243.6	meV per atom

abc: 7.5494 7.5494 3.5617
angles: 103.46 103.46 128.97
Atoms (fractional coordinates):
Sr1 0.0000 0.0000 0.0000
La1 0.0000 0.5000 0.0000
La2 0.5000 0.0000 0.0000
Cl1 0.5000 0.5000 0.0000


Entry 9:
Material: La6BN3O6
Method: DFT, PBEsol
State: relaxed

Summary:
symmetry	Cmcm (63)
VASP energy	-279.9	eV/cell

abc: 12.5342 12.5342 10.8622
angles: 90.00 90.00 163.33
Atoms (fractional coordinates):
La1 0.0484 0.9516 0.7500
La2 0.1872 0.8128 0.5687
La3 0.1872 0.8128 0.9313
La4 0.1990 0.8010 0.2500
La5 0.4325 0.5675 0.5663
La6 0.4325 0.5675 0.9337
La7 0.5675 0.4325 0.0663
La8 0.5675 0.4325 0.4337
La9 0.8010 0.1990 0.7500
La10 0.8128 0.1872 0.0687
La11 0.8128 0.1872 0.4313
La12 0.9516 0.0484 0.2500
B1 0.3592 0.6408 0.2500
B2 0.6408 0.3592 0.7500
N1 0.2999 0.7001 0.2500
N2 0.3890 0.6110 0.1328
N3 0.3890 0.6110 0.3672
N4 0.6110 0.3890 0.6328
N5 0.6110 0.3890 0.8672
N6 0.7001 0.2999 0.7500
O1 0.0000 0.0000 0.0000
O2 0.0000 0.0000 0.5000
O3 0.1234 0.8766 0.1066
O4 0.1234 0.8766 0.3934
O5 0.2828 0.7172 0.5914
O6 0.2828 0.7172 0.9086
O7 0.4880 0.5120 0.7500
O8 0.5120 0.4880 0.2500
O9 0.7172 0.2828 0.0914
O10 0.7172 0.2828 0.4086
O11 0.8766 0.1234 0.6066
O12 0.8766 0.1234 0.8934


Entry 10:
Material: Y6RuI10
Method: DFT, PBEsol
State: relaxed

Summary:
symmetry	P-1 (2)
VASP energy	-89.2	eV/cell

abc: 7.5308 9.4482 9.4894
angles: 107.38 96.95 104.86
Atoms (fractional coordinates):
Y1 0.0305 0.2145 0.4156
Y2 0.1144 0.5402 0.2563
Y3 0.3564 0.6280 0.6685
Y4 0.6436 0.3720 0.3315
Y5 0.8856 0.4598 0.7437
Y6 0.9695 0.7855 0.5844
Ru1 0.0000 0.5000 0.5000
I1 0.0891 0.8736 0.3157
I2 0.2144 0.2348 0.1450
I3 0.2671 0.5895 0.9662
I4 0.3587 0.9600 0.7765
I5 0.4524 0.3113 0.5941
I6 0.5476 0.6887 0.4059
I7 0.6413 0.0400 0.2235
I8 0.7329 0.4105 0.0338
I9 0.7856 0.7652 0.8550
I10 0.9109 0.1264 0.6843


Entry 11:
Material: Li2AgAu2
Method: DFT, PBEsol
State: relaxed

Summary:
symmetry	P4/mbm (127)
relative energy among the computed polymorphs	0.0	meV per atom

abc: 7.4126 7.4126 2.8315
angles: 90.00 90.00 90.00
Atoms (fractional coordinates):
Li1 0.1618 0.3382 0.0000
Li2 0.3382 0.8382 0.0000
Li3 0.6618 0.1618 0.0000
Li4 0.8382 0.6618 0.0000
Ag1 0.0000 0.0000 0.5000
Ag2 0.5000 0.5000 0.5000
Au1 0.1368 0.6368 0.5000
Au2 0.3632 0.1368 0.5000
Au3 0.6368 0.8632 0.5000
Au4 0.8632 0.3632 0.5000


Entry 12:
Material: FeCuP2
Method: DFT, PBEsol
State: relaxed

Summary:
symmetry	I4/mmm (139)
VASP energy	-24.6	eV/cell

abc: 4.1080 4.1080 4.1080
angles: 124.18 124.18 82.89
Atoms (fractional coordinates):
Fe1 0.0000 0.0000 0.0000
Cu1 0.5000 0.5000 0.0000
P1 0.2500 0.7500 0.5000
P2 0.7500 0.2500 0.5000


Entry 13:
Material: CrS2IN
Method: DFT, PBEsol
State: relaxed

Summary:
symmetry	P4/mmm (123)
VASP energy	-28.0	eV/cell

abc: 4.6969 4.6969 3.5676
angles: 90.00 90.00 90.00
Atoms (fractional coordinates):
Cr1 0.0000 0.0000 0.0000
S1 0.0000 0.5000 0.0000
S2 0.5000 0.0000 0.0000
I1 0.5000 0.5000 0.5000
N1 0.0000 0.0000 0.5000


Entry 14:
Material: LaAgGe3
Method: DFT, PBEsol
State: relaxed

Summary:
symmetry	Pm-3m (221)
VASP energy	-17.6	eV/cell

abc: 5.5029 5.5029 5.5029
angles: 90.00 90.00 90.00
Atoms (fractional coordinates):
La1 0.0000 0.0000 0.0000
Ag1 0.5000 0.5000 0.5000
Ge1 0.0000 0.0000 0.5000
Ge2 0.0000 0.5000 0.0000
Ge3 0.5000 0.0000 0.0000


Entry 15:
Material: ThSi2
Method: DFT, PBEsol
State: relaxed

Summary:
symmetry	P6/mmm (191)
VASP energy	-21.7	eV/cell

abc: 4.0855 4.0855 4.1325
angles: 90.00 90.00 120.00
Atoms (fractional coordinates):
Th1 0.0000 0.0000 0.0000
Si1 0.3333 0.6667 0.5000
Si2 0.6667 0.3333 0.5000


Entry 16:
Material: TiSiOsPd2
Method: DFT, PBEsol
State: relaxed

Summary:
symmetry	P4/mmm (123)
VASP energy	-33.1	eV/cell

abc: 4.7884 4.7884 4.3971
angles: 90.00 90.00 90.00
Atoms (fractional coordinates):
Ti1 0.0000 0.0000 0.0000
Si1 0.5000 0.5000 0.0000
Os1 0.5000 0.5000 0.5000
Pd1 0.0000 0.5000 0.5000
Pd2 0.5000 0.0000 0.5000


Entry 17:
Material: MgTe
Method: DFT, PBEsol
State: relaxed

Summary:
symmetry	R-3m (166)
VASP energy	-11.1	eV/cell

abc: 10.4421 10.4421 10.4421
angles: 19.18 19.18 19.18
Atoms (fractional coordinates):
Mg1 0.1265 0.1265 0.1265
Mg2 0.8735 0.8735 0.8735
Te1 0.3908 0.3908 0.3908
Te2 0.6092 0.6092 0.6092


Entry 18:
Material: CeNdSi2
Method: DFT, PBEsol
State: relaxed

Summary:
symmetry	Pmc2_1 (26)
VASP energy	-52.2	eV/cell

abc: 3.8857 5.8115 8.0937
angles: 90.00 90.00 90.00
Atoms (fractional coordinates):
Ce1 0.0000 0.1364 0.0000
Ce2 0.0000 0.8636 0.5000
Nd1 0.5000 0.3658 0.6399
Nd2 0.5000 0.6342 0.1399
Si1 0.0000 0.3670 0.3547
Si2 0.0000 0.6330 0.8547
Si3 0.5000 0.1230 0.2843
Si4 0.5000 0.8770 0.7843


Entry 19:
Material: InGa2CuRu
Method: DFT, PBEsol
State: relaxed

Summary:
symmetry	P4/mmm (123)
VASP energy	-22.3	eV/cell

abc: 4.6795 4.6795 4.7856
angles: 90.00 90.00 90.00
Atoms (fractional coordinates):
In1 0.0000 0.0000 0.0000
Ga1 0.0000 0.5000 0.5000
Ga2 0.5000 0.0000 0.5000
Cu1 0.5000 0.5000 0.0000
Ru1 0.5000 0.5000 0.5000


Entry 20:
Material: MnBrNF2
Method: DFT, PBEsol
State: relaxed

Summary:
symmetry	P4/mmm (123)
VASP energy	-26.8	eV/cell

abc: 3.7523 3.7523 4.3209
angles: 90.00 90.00 90.00
Atoms (fractional coordinates):
Mn1 0.0000 0.0000 0.0000
Br1 0.5000 0.5000 0.5000
N1 0.0000 0.0000 0.5000
F1 0.0000 0.5000 0.0000
F2 0.5000 0.0000 0.0000


Number 1: magnetic moment 0.00 μB/f.u.. Number 2: magnetic moment 0.00 μB/f.u.. Number 3: magnetic moment 2.00 μB/f.u.. Number 4: magnetic moment 0.00 μB/f.u.. Number 5: magnetic moment 0.00 μB/f.u.. Number 6: magnetic moment 0.00 μB/f.u.. Number 7: magnetic moment 2.53 μB/f.u.. Number 8: magnetic moment 0.00 μB/f.u.. Number 9: magnetic moment 0.00 μB/f.u.. Number 10: magnetic moment 1.93 μB/f.u.. Number 11: magnetic moment 0.00 μB/f.u.. Number 12: magnetic moment 0.00 μB/f.u.. Number 13: magnetic moment 0.00 μB/f.u.. Number 14: magnetic moment 0.00 μB/f.u.. Number 15: magnetic moment 0.00 μB/f.u.. Number 16: magnetic moment 1.45 μB/f.u.. Number 17: magnetic moment 0.00 μB/f.u.. Number 18: magnetic moment 0.67 μB/f.u.. Number 19: magnetic moment 0.00 μB/f.u.. Number 20: magnetic moment 3.52 μB/f.u..